Entry 1:
First-principles (GGA-PBEsol) data for a relaxed SmYTl2 crystal, as listed in Alexandria. Values from VASP.

Cell and atoms, written as Quantum ESPRESSO input:
```
&SYSTEM
  ibrav = 0, nat = 4, ntyp = 3
/
ATOMIC_SPECIES
Sm 150.36 Sm.upf
Y 88.91 Y.upf
Tl 204.38 Tl.upf
CELL_PARAMETERS angstrom
0.000 3.760 3.760
3.760 0.000 3.760
3.760 3.760 0.000
ATOMIC_POSITIONS crystal
Sm 0.000 0.000 0.000
Y 0.500 0.500 0.500
Tl 0.250 0.250 0.250
Tl 0.750 0.750 0.750
```

Properties
space group = Fm-3m (225)
ρ = 10.12 Mg/m³
ΔH_f (0 K) = -0.46 eV per atom

Entry 2:
First-principles (GGA-PBEsol) data for a relaxed Sm3Tm crystal, as listed in Alexandria. Values from VASP.

Cell and atoms, written as Quantum ESPRESSO input:
```
&SYSTEM
  ibrav = 0, nat = 4, ntyp = 2
/
ATOMIC_SPECIES
Sm 150.36 Sm.upf
Tm 168.93 Tm.upf
CELL_PARAMETERS angstrom
-2.486 2.486 4.955
2.486 -2.486 4.955
2.486 2.486 -4.955
ATOMIC_POSITIONS crystal
Sm 0.000 0.000 0.000
Sm 0.250 0.750 0.500
Sm 0.750 0.250 0.500
Tm 0.500 0.500 0.000
```

Properties
space group = I4/mmm (139)
ρ = 8.41 Mg/m³
ΔH_f (0 K) = 0.01 eV per atom

Entry 3:
First-principles (GGA-PBEsol) data for a relaxed Sm3Tm crystal, as listed in Alexandria. Values from VASP.

Cell and atoms, written as Quantum ESPRESSO input:
```
&SYSTEM
  ibrav = 0, nat = 4, ntyp = 2
/
ATOMIC_SPECIES
Sm 150.36 Sm.upf
Tm 168.93 Tm.upf
CELL_PARAMETERS angstrom
4.964 0.000 0.000
0.000 4.964 0.000
0.000 0.000 4.964
ATOMIC_POSITIONS crystal
Sm 0.000 0.000 0.500
Sm 0.000 0.500 0.000
Sm 0.500 0.000 0.000
Tm 0.500 0.500 0.500
```

Properties
space group = Pm-3m (221)
ρ = 8.41 Mg/m³
ΔH_f (0 K) = 0.01 eV per atom

Entry 4:
First-principles (GGA-PBEsol) data for a relaxed Sm3Tm crystal, as listed in Alexandria. Values from VASP.

Cell and atoms, written as Quantum ESPRESSO input:
```
&SYSTEM
  ibrav = 0, nat = 8, ntyp = 2
/
ATOMIC_SPECIES
Sm 150.36 Sm.upf
Tm 168.93 Tm.upf
CELL_PARAMETERS angstrom
7.117 0.000 0.000
-3.559 6.164 0.000
0.000 0.000 5.648
ATOMIC_POSITIONS crystal
Sm 0.167 0.334 0.250
Sm 0.167 0.833 0.250
Sm 0.334 0.167 0.750
Sm 0.666 0.833 0.250
Sm 0.833 0.167 0.750
Sm 0.833 0.666 0.750
Tm 0.333 0.667 0.750
Tm 0.667 0.333 0.250
```

Properties
space group = P6_3/mmc (194)
ρ = 8.31 Mg/m³
ΔH_f (0 K) = 0.02 eV per atom

Entry 5:
First-principles (GGA-PBEsol) data for a relaxed SmTmZn2 crystal, as listed in Alexandria. Values from VASP.

Cell and atoms, written as Quantum ESPRESSO input:
```
&SYSTEM
  ibrav = 0, nat = 4, ntyp = 3
/
ATOMIC_SPECIES
Sm 150.36 Sm.upf
Tm 168.93 Tm.upf
Zn 65.41 Zn.upf
CELL_PARAMETERS angstrom
0.000 3.515 3.515
3.515 0.000 3.515
3.515 3.515 0.000
ATOMIC_POSITIONS crystal
Sm 0.000 0.000 0.000
Tm 0.500 0.500 0.500
Zn 0.250 0.250 0.250
Zn 0.750 0.750 0.750
```

Properties
space group = Fm-3m (225)
ρ = 8.61 Mg/m³
ΔH_f (0 K) = -0.33 eV per atom

Entry 6:
First-principles (GGA-PBEsol) data for a relaxed SmY3 crystal, as listed in Alexandria. Values from VASP.

Cell and atoms, written as Quantum ESPRESSO input:
```
&SYSTEM
  ibrav = 0, nat = 8, ntyp = 2
/
ATOMIC_SPECIES
Sm 150.36 Sm.upf
Y 88.91 Y.upf
CELL_PARAMETERS angstrom
7.160 0.000 0.000
-3.580 6.201 0.000
0.000 0.000 5.618
ATOMIC_POSITIONS crystal
Sm 0.333 0.667 0.250
Sm 0.667 0.333 0.750
Y 0.167 0.333 0.750
Y 0.167 0.833 0.750
Y 0.333 0.167 0.250
Y 0.667 0.833 0.750
Y 0.833 0.167 0.250
Y 0.833 0.667 0.250
```

Properties
space group = P6_3/mmc (194)
ρ = 5.55 Mg/m³
ΔH_f (0 K) = 0.01 eV per atom

Entry 7:
First-principles (GGA-PBEsol) data for a relaxed SmY3 crystal, as listed in Alexandria. Values from VASP.

Cell and atoms, written as Quantum ESPRESSO input:
```
&SYSTEM
  ibrav = 0, nat = 4, ntyp = 2
/
ATOMIC_SPECIES
Sm 150.36 Sm.upf
Y 88.91 Y.upf
CELL_PARAMETERS angstrom
4.968 0.000 0.000
0.000 4.968 0.000
0.000 0.000 4.968
ATOMIC_POSITIONS crystal
Sm 0.000 0.000 0.000
Y 0.000 0.500 0.500
Y 0.500 0.000 0.500
Y 0.500 0.500 0.000
```

Properties
space group = Pm-3m (221)
ρ = 5.65 Mg/m³
ΔH_f (0 K) = 0.01 eV per atom

Entry 8:
First-principles (GGA-PBEsol) data for a relaxed SmY3 crystal, as listed in Alexandria. Values from VASP.

Cell and atoms, written as Quantum ESPRESSO input:
```
&SYSTEM
  ibrav = 0, nat = 4, ntyp = 2
/
ATOMIC_SPECIES
Sm 150.36 Sm.upf
Y 88.91 Y.upf
CELL_PARAMETERS angstrom
-2.485 2.485 4.966
2.485 -2.485 4.966
2.485 2.485 -4.966
ATOMIC_POSITIONS crystal
Sm 0.000 0.000 0.000
Y 0.250 0.750 0.500
Y 0.500 0.500 0.000
Y 0.750 0.250 0.500
```

Properties
space group = I4/mmm (139)
ρ = 5.65 Mg/m³
ΔH_f (0 K) = 0.01 eV per atom

ΔH_f (0 K) of number 4 (Sm3Tm)?
0.02 eV per atom

Copy entry 2 word for word.
First-principles (GGA-PBEsol) data for a relaxed Sm3Tm crystal, as listed in Alexandria. Values from VASP.

Cell and atoms, written as Quantum ESPRESSO input:
```
&SYSTEM
  ibrav = 0, nat = 4, ntyp = 2
/
ATOMIC_SPECIES
Sm 150.36 Sm.upf
Tm 168.93 Tm.upf
CELL_PARAMETERS angstrom
-2.486 2.486 4.955
2.486 -2.486 4.955
2.486 2.486 -4.955
ATOMIC_POSITIONS crystal
Sm 0.000 0.000 0.000
Sm 0.250 0.750 0.500
Sm 0.750 0.250 0.500
Tm 0.500 0.500 0.000
```

Properties
space group = I4/mmm (139)
ρ = 8.41 Mg/m³
ΔH_f (0 K) = 0.01 eV per atom